A plane-wave DFT calculation with PBE was carried out for a relaxed structure of TbNdCoRh.

Calculated values
Energy of formation   -368 meV/atom
Total DFT energy (no corrections)   -6.3323 eV per atom

CIF file:
```
data_TbNdCoRh
_chemical_formula_sum 'Tb1 Nd1 Co1 Rh1'
_cell_length_a 4.894
_cell_length_b 4.894
_cell_length_c 4.894
_cell_angle_alpha 60.00
_cell_angle_beta 60.00
_cell_angle_gamma 60.00
_symmetry_space_group_name_H-M 'P 1'
_symmetry_Int_Tables_number 1
loop_
_symmetry_equiv_pos_as_xyz
'x,y,z'
loop_
_atom_site_label
_atom_site_type_symbol
_atom_site_fract_x
_atom_site_fract_y
_atom_site_fract_z
Tb1 Tb 0.250 0.250 0.250
Rh1 Rh 0.000 0.000 0.000
Nd1 Nd 0.750 0.750 0.750
Co1 Co 0.500 0.500 0.500
```